Record 1
LiMg4In3 after structural relaxation, computed with PBE.

```
8
Lattice="3.7950 0.0000 0.0000 0.0000 3.7950 0.0000 0.0000 0.0000 12.7709" Properties=species:S:1:pos:R:3 pbc="T T T"
Li 0.0000 0.0000 0.0000
Mg 1.8975 1.8975 1.5446
Mg 1.8975 1.8975 4.7810
Mg 1.8975 1.8975 7.9899
Mg 1.8975 1.8975 11.2263
In 0.0000 0.0000 3.0829
In 0.0000 0.0000 6.3854
In 0.0000 0.0000 9.6880
```

Properties
* offset from the most stable computed form: 0 meV per atom
* symmetry: No. 123
* ΔE_f: -0.0850 eV per atom
* density of states at the Fermi level: 2.62 states/eV/cell

=====

Record 2
CdGa5O8 after structural relaxation, computed with PBE.

```
14
Lattice="0.0000 4.3400 4.3400 4.3400 0.0000 4.3400 4.3400 4.3400 0.0000" Properties=species:S:1:pos:R:3 pbc="T T T"
Cd 0.0000 0.0000 0.0000
Ga 3.2424 3.2424 3.2424
Ga 5.4377 5.4377 3.2424
Ga 5.4377 3.2424 5.4377
Ga 6.5100 6.5100 6.5100
Ga 3.2424 5.4377 5.4377
O 1.2411 1.2411 1.2411
O 3.0989 3.0989 1.2411
O 3.0989 1.2411 3.0989
O 5.3276 3.3525 3.3525
O 1.2411 3.0989 3.0989
O 3.3525 5.3276 3.3525
O 3.3525 3.3525 5.3276
O 5.3276 5.3276 5.3276
```

Properties
* symmetry: No. 216
* formation energy from raw total energies: -1.635 eV/atom
* density of states at the Fermi level: 0.91 states/eV/cell